Compound: K2CoTe
Source: Alexandria
Functional: PBE-GGA
Structure: optimized geometry

a = 9.959 Å, b = 9.959 Å, c = 9.959 Å
α = 26.50°, β = 26.50°, γ = 26.50°
Site moments in Bohr magnetons follow the coordinates.
Fractional positions:
1 Co 0.750 0.750 0.750  2.25
2 K 0.994 0.994 0.994  0.00
3 K 0.506 0.506 0.506  0.00
4 Te 0.250 0.250 0.250  0.09

Computed properties:
Total moment, μB per cell: 2.52
Symmetry: No. 166
Formation energy (no corrections), eV/f.u.: 1.90
Raw total energy, eV/atom: -2.636